Compound: DyCd2Sn
Source: Alexandria via LeMat-Bulk
Functional: PBE
Structure: relaxed

Unit cell a=4.830 b=4.464 c=4.464 alpha=90.00 beta=90.00 gamma=90.00
Element x y z (fractional)
Sn 0.500 0.000 0.000
Cd 0.000 0.500 0.000
Dy 0.500 0.500 0.500
Cd 0.000 0.000 0.500

Energy above the most stable polymorph in this dataset in meV per atom: 0.0
Magnetic moment in μB/f.u.: 0.00
Calculated volume in Å³ per cell: 96
Raw total energy in eV per cell: -12.11
Theoretical density in g/cm3: 8.7